No. 1
This record from Alexandria via LeMat-Bulk describes a geometry-optimized Li32Mn13Cr3O48 structure. The functional is PBE with a Hubbard U.

Output
The total energy is -591.4 eV per cell. The magnetization comes out at 19.358 μB/f.u. The calculation puts the excess energy over the best structure of this formula in the dataset at 235 kJ/mol of formula units.

```
Li32Mn13Cr3O48
1.0
-4.1759 1.9634 -1.9236
-2.7007 -7.9134 -2.3178
-6.5746 -0.1215 18.3236
Li Mn Cr O
32 13 3 48
Direct
0.9947 0.1705 0.2500
0.8775 0.3739 0.3744
0.7529 0.2497 0.0005
0.7397 0.9213 0.0011
0.9867 0.1713 0.7500
0.7624 0.5834 0.5011
0.8770 0.3750 0.8754
0.7469 0.2490 0.5006
0.7428 0.9197 0.5003
0.6257 0.1251 0.1251
0.7585 0.5820 0.0006
0.5041 0.3270 0.2487
0.6285 0.1238 0.6246
0.5022 0.9993 0.2493
0.4900 0.6697 0.2491
0.5102 0.3333 0.7507
0.3776 0.8741 0.3748
0.4960 0.9998 0.7501
0.2468 0.7496 0.0008
0.4929 0.6695 0.7498
0.2398 0.4182 0.9999
0.3770 0.8746 0.8747
0.2547 0.0783 0.4994
0.2553 0.7489 0.5001
0.1251 0.6249 0.1249
0.2374 0.4211 0.5002
0.0062 0.8291 0.2497
0.2624 0.0846 0.0010
0.1273 0.6253 0.6257
0.9991 0.4996 0.2496
0.0037 0.8278 0.7490
0.0049 0.4993 0.7497
0.8787 0.7107 0.3762
0.8742 0.0410 0.3749
0.8712 0.7074 0.8743
0.6258 0.7914 0.1249
0.6242 0.4586 0.1249
0.6248 0.7916 0.6252
0.6272 0.4606 0.6259
0.3715 0.2066 0.3741
0.3741 0.5419 0.8752
0.3779 0.2115 0.8761
0.1243 0.9586 0.1249
0.1257 0.2915 0.1250
0.1217 0.9568 0.6241
0.8812 0.0404 0.8750
0.3821 0.5399 0.3748
0.1323 0.2905 0.6248
0.9641 0.1074 0.0689
0.9285 0.7858 0.0689
0.9277 0.4280 0.0680
0.9620 0.1030 0.5679
0.8215 0.9641 0.1808
0.8220 0.3221 0.1819
0.9271 0.7846 0.5693
0.9275 0.4266 0.5680
0.7857 0.6427 0.1809
0.7152 0.8562 0.3194
0.8196 0.9638 0.6808
0.8220 0.3233 0.6822
0.6775 0.5388 0.3197
0.6770 0.1774 0.3180
0.7872 0.6444 0.6808
0.7116 0.8538 0.8180
0.4639 0.6073 0.0689
0.5788 0.7159 0.4312
0.5711 0.0714 0.4318
0.6780 0.5346 0.8194
0.6742 0.1767 0.8180
0.4276 0.9279 0.0678
0.4288 0.2858 0.0690
0.5293 0.3930 0.4309
0.4659 0.6086 0.5695
0.5698 0.7148 0.9308
0.5719 0.0743 0.9319
0.3224 0.8220 0.1819
0.3214 0.4643 0.1810
0.4278 0.9272 0.5682
0.4275 0.2879 0.5691
0.5360 0.3928 0.9308
0.2864 0.1425 0.1807
0.2123 0.3531 0.3178
0.3230 0.8225 0.6818
0.3269 0.4672 0.6819
0.1748 0.6758 0.3181
0.1779 0.0339 0.3190
0.2796 0.1432 0.6809
0.2146 0.3573 0.8195
0.0725 0.5735 0.4321
0.0700 0.2140 0.4306
0.1766 0.6784 0.8183
0.1761 0.0395 0.8197
0.0370 0.8920 0.4306
0.0711 0.5723 0.9320
0.0784 0.2168 0.9312
0.0293 0.8938 0.9309
```



No. 2
This record from Alexandria via LeMat-Bulk describes a geometry-optimized Li2Mn3CrO8 structure. The functional is PBE with a Hubbard U.

Output
The total energy is -194.2 eV per cell. The magnetization comes out at 13.000 μB/f.u. The calculation puts the excess energy over the best structure of this formula in the dataset at 67 kJ/mol of formula units.

```
Li2Mn3CrO8
1.0
2.9482 -5.1064 0.0000
2.9482 5.1064 0.0000
0.0000 0.0000 9.4388
Li Mn Cr O
4 6 2 16
Direct
0.3333 0.6667 0.8903
0.0000 0.0000 0.9980
0.0000 0.0000 0.4980
0.6667 0.3333 0.3903
0.1707 0.8293 0.2148
0.1707 0.3413 0.2148
0.6587 0.8293 0.2148
0.3413 0.1707 0.7148
0.8293 0.6587 0.7148
0.8293 0.1707 0.7148
0.3333 0.6667 0.4893
0.6667 0.3333 0.9893
0.1619 0.8381 0.6026
0.0404 0.5202 0.3382
0.3333 0.6667 0.1005
0.0000 0.0000 0.3090
0.0000 0.0000 0.8091
0.1619 0.3237 0.6026
0.4798 0.9596 0.3382
0.4798 0.5202 0.3382
0.3237 0.1619 0.1026
0.6763 0.8381 0.6026
0.5202 0.4798 0.8382
0.5202 0.0404 0.8382
0.6667 0.3333 0.6005
0.8381 0.6763 0.1026
0.9596 0.4798 0.8382
0.8381 0.1619 0.1026
```



No. 3
This record from Alexandria via LeMat-Bulk describes a geometry-optimized Li10Mn3Cr5O16 structure. The functional is PBE with a Hubbard U.

Output
The total energy is -221.8 eV per cell. The magnetization comes out at 29.000 μB/f.u.

```
Li10Mn3Cr5O16
1.0
-1.0416 4.4548 -3.8933
1.0088 -5.6028 -2.0563
-9.7158 -1.6717 0.5748
Li Mn Cr O
10 3 5 16
Direct
0.1768 0.7977 0.0577
0.6494 0.3240 0.7741
0.3789 0.1892 0.5570
0.3309 0.6688 0.2739
0.7938 0.5990 0.5565
0.5876 0.8058 0.0507
0.7823 0.1756 0.5549
0.1947 0.4010 0.0500
0.9840 0.9726 0.4880
0.9878 0.9892 0.9909
0.3273 0.1572 0.2890
0.1465 0.3149 0.7863
0.8263 0.1563 0.2854
0.8184 0.6451 0.2866
0.3195 0.6409 0.5299
0.6470 0.3170 0.0292
0.1513 0.8123 0.7868
0.6442 0.8126 0.7878
0.1426 0.7937 0.4104
0.8192 0.6552 0.9036
0.4707 0.9579 0.6649
0.5104 0.4999 0.1566
0.6503 0.8071 0.4115
0.3169 0.1429 0.9122
0.0047 0.5007 0.6573
0.3236 0.6690 0.9040
0.6406 0.3245 0.4017
0.9658 0.4859 0.1559
0.4861 0.5056 0.6602
0.4879 0.0196 0.1595
0.8030 0.1346 0.9175
0.1655 0.3044 0.4179
0.9713 0.9578 0.6767
0.0063 0.9743 0.1817
```



No. 4
This record from Alexandria via LeMat-Bulk describes a geometry-optimized Li2Mn3CrO8 structure. The functional is PBE with a Hubbard U.

Output
The total energy is -97.7 eV per cell. The magnetization comes out at 13.000 μB/f.u. The calculation puts the excess energy over the best structure of this formula in the dataset at 15 kJ/mol of formula units.

```
Li2Mn3CrO8
1.0
-4.0836 -2.3817 -3.5689
-0.0650 -5.8529 -0.9085
-4.3596 -3.2887 2.2943
Li Mn Cr O
2 3 1 8
Direct
0.1211 0.1211 0.1211
0.8789 0.8789 0.8789
0.0000 0.5000 0.5000
0.5000 0.5000 0.0000
0.5000 0.0000 0.5000
0.5000 0.5000 0.5000
0.2600 0.2600 0.2600
0.7071 0.2602 0.2602
0.2602 0.2602 0.7071
0.2602 0.7071 0.2602
0.7398 0.2929 0.7398
0.7398 0.7398 0.2929
0.7400 0.7400 0.7400
0.2929 0.7398 0.7398
```